Here is crystalline Rb5In2Te5 at its relaxed geometry from Alexandria. Energies are from PBE.

a = 4.9267 Å, b = 8.6006 Å, c = 13.5646 Å
α = 104.83°, β = 90.00°, γ = 106.64°
Fractional positions:
In 0.9621 0.9242 0.2007
Te 0.3549 0.7098 0.2067
Rb 0.3389 0.6778 0.9259
Te 0.6451 0.2902 0.7933
In 0.0379 0.0758 0.7993
Te 0.1059 0.2117 0.3697
Rb 0.2325 0.4650 0.6320
Rb 0.6611 0.3222 0.0741
Te 0.8941 0.7883 0.6303
Te 0.0000 0.0000 0.0000
Rb 0.7675 0.5350 0.3680
Rb 0.5000 0.0000 0.5000

Computed properties:
The formation energy (no corrections) is -18.03 kcal/mol of atoms. For the volume, the calculation gives 44.22 Å³/atom. For the size of the total moment, the calculation gives 0.000 μB per atom. The calculation puts the density of states at the Fermi level at 4.6 states/eV/f.u. The total energy is -35.40 eV/cell.